The following is a PBE calculation of NaScCoS3 after structural relaxation, from OQMD via LeMat-Bulk.

Properties
Total DFT energy (no corrections), eV/atom: -5.68
SG: No. 63

a b c (Å): 6.7134 6.7134 9.8380
angles (deg): 90.00 90.00 148.39
Closest atoms and distances in Å follow each position.
Fractional positions:
Na (0.2455, 0.7545, 0.7500)  6 S 2.95-2.96
Na (0.7545, 0.2455, 0.2500)  6 S 2.95-2.96
Sc (0.0000, 0.0000, 0.0000)  6 S 2.57-2.65
Sc (0.0000, 0.0000, 0.5000)  6 S 2.57-2.65
Co (0.4750, 0.5250, 0.2500)  4 S 2.23-2.25
Co (0.5250, 0.4750, 0.7500)  4 S 2.23-2.25
S (0.0758, 0.9242, 0.2500)  2 Co 2.25
S (0.3708, 0.6292, 0.0690)  1 Co 2.23
S (0.3708, 0.6292, 0.4310)  1 Co 2.23
S (0.6292, 0.3708, 0.5690)  1 Co 2.23
S (0.6292, 0.3708, 0.9310)  1 Co 2.23
S (0.9242, 0.0758, 0.7500)  2 Co 2.25

=====

The following is a PBE calculation of NaScCoS3 after structural relaxation, from OQMD via LeMat-Bulk.

Properties
Total DFT energy (no corrections), eV/atom: -5.72
SG: No. 11

a b c (Å): 7.7764 3.6778 8.7679
angles (deg): 90.00 105.70 90.00
Closest atoms and distances in Å follow each position.
Fractional positions:
Na (0.1974, 0.2500, 0.2210)  5 S 2.81-3.11
Na (0.8026, 0.7500, 0.7790)  5 S 2.81-3.11
Sc (0.3284, 0.7500, 0.8583)  6 S 2.55-2.73
Sc (0.6716, 0.2500, 0.1417)  6 S 2.55-2.73
Co (0.0824, 0.2500, 0.5926)  4 S 2.18-2.25
Co (0.9176, 0.7500, 0.4074)  4 S 2.18-2.25
S (0.0973, 0.2500, 0.8526)  1 Co 2.25
S (0.2024, 0.7500, 0.5358)  3 Co 2.18-2.20
S (0.4439, 0.7500, 0.1591)  3 Sc 2.55-2.59, 2 Na 2.81
S (0.5561, 0.2500, 0.8409)  3 Sc 2.55-2.59, 2 Na 2.81
S (0.7976, 0.2500, 0.4642)  3 Co 2.18-2.20
S (0.9027, 0.7500, 0.1474)  1 Co 2.25

=====

Relative energy among the computed polymorphs per entry: 0.22, 0.00 eV/f.u.